[1]
VASP calculation (PBE-GGA) on crystalline Pu2UPt at its relaxed geometry.

Cell and atoms, written as extended XYZ:
```
4
Lattice="-0.550 3.280 -0.947 0.422 -0.887 -3.316 -6.963 -1.321 -0.533" Properties=species:S:1:pos:R:3 pbc="T T T"
Pu -5.153 -0.978 -0.394
Pu -1.810 -0.344 -0.139
Pt -3.545 0.536 -2.398
U -0.064 1.197 -2.131
```

## Properties
SG = P4/mmm (123)
energy of formation from the pure elements = -215 meV per atom
calculated volume = 21.25 Å³/atom
DOS(E_F) = 2.56 states/eV/atom
spin magnetization = 10.68 Bohr magnetons per cell

=====

[2]
VASP calculation (PBE-GGA) on crystalline Pu2UPt at its relaxed geometry.

Cell and atoms, written as extended XYZ:
```
4
Lattice="-2.236 4.251 -1.040 -3.033 2.048 3.280 1.327 4.112 2.342" Properties=species:S:1:pos:R:3 pbc="T T T"
Pu -0.986 2.603 1.145
Pu -2.957 7.809 3.436
U -1.971 5.206 2.291
Pt 0.000 0.000 0.000
```

## Properties
SG = Fm-3m (225)
energy of formation from the pure elements = -176 meV per atom
calculated volume = 20.99 Å³/atom
DOS(E_F) = 3.48 states/eV/atom
spin magnetization = 12.43 Bohr magnetons per cell

=====

[3]
VASP calculation (PBE-GGA) on crystalline PuUPt at its relaxed geometry.

Cell and atoms, written as extended XYZ:
```
6
Lattice="-0.118 1.948 -2.100 -1.569 -4.155 -3.591 -6.024 3.389 4.047" Properties=species:S:1:pos:R:3 pbc="T T T"
Pu -7.035 2.845 -0.191
Pu -5.566 3.345 3.026
U -3.721 2.051 1.854
U -2.738 -1.198 -0.966
Pt -4.748 1.041 -0.765
Pt -1.829 1.760 -0.447
```

## Properties
SG = P-1 (2)
energy of formation from the pure elements = -321 meV per atom
calculated volume = 19.80 Å³/atom
DOS(E_F) = 2.13 states/eV/atom
spin magnetization = 7.31 Bohr magnetons per cell

=====

[4]
VASP calculation (PBE-GGA) on crystalline Pu2UPt at its relaxed geometry.

Cell and atoms, written as extended XYZ:
```
4
Lattice="3.068 0.000 0.000 0.000 5.164 0.000 0.000 0.000 5.164" Properties=species:S:1:pos:R:3 pbc="T T T"
Pt 1.534 0.000 0.000
U 1.534 2.582 2.582
Pu 0.000 0.000 2.582
Pu 0.000 2.582 0.000
```

## Properties
SG = P4/mmm (123)
energy of formation from the pure elements = -214 meV per atom
calculated volume = 20.46 Å³/atom
DOS(E_F) = 3.14 states/eV/atom
spin magnetization = 8.71 Bohr magnetons per cell

=====

| no. | ΔE to the lowest computed polymorph (meV per atom) |
| --- | --- |
| 1 | 0.0 |
| 2 | 39.3 |
| 3 | 90.0 |
| 4 | 0.4 |